VASP calculation (PBE) on a relaxed TiRe3P crystal.

abc: 4.5632 4.5632 4.5632
angles: 90.00 90.00 90.00
Last column: nearest neighbours and their distance in Å.
Atoms (fractional coordinates):
Re1 0.0000 0.5000 0.0000  2 Ti 2.28
Re2 0.0000 0.0000 0.5000  2 Ti 2.28
Re3 0.5000 0.0000 0.0000  2 Ti 2.28
P1 0.5000 0.5000 0.5000  12 Re 3.23
Ti1 0.0000 0.0000 0.0000  6 Re 2.28

**ΔE_f**: 2.2133 eV per atom
**Space-group type**: No. 221
**Raw total energy**: -39.58 eV per cell

VASP calculation (PBE) on a relaxed TiRe2PW crystal.

abc: 4.7897 4.4564 4.7897
angles: 90.00 90.00 90.00
Last column: nearest neighbours and their distance in Å.
Atoms (fractional coordinates):
Re1 0.0000 0.0000 0.5000  2 W 2.39
Re2 0.5000 0.0000 0.0000  2 W 2.39
P1 0.0000 0.5000 0.0000  2 W 2.23
W1 0.0000 0.0000 0.0000  2 P 2.23, 4 Re 2.39
Ti1 0.5000 0.5000 0.5000  8 Re 3.27, 4 P 3.39

**ΔE_f**: 1.6172 eV per atom
**Space-group type**: No. 123
**Raw total energy**: -43.07 eV per cell

VASP calculation (PBE) on a relaxed YTi2ReP crystal.

abc: 4.4833 5.0851 4.4833
angles: 90.00 90.00 90.00
Last column: nearest neighbours and their distance in Å.
Atoms (fractional coordinates):
Y1 0.0000 0.5000 0.0000  2 P 2.54
Re1 0.5000 0.5000 0.5000  4 Y 3.17, 8 Ti 3.39
P1 0.0000 0.0000 0.0000  4 Ti 2.24
Ti1 0.0000 0.0000 0.5000  2 P 2.24
Ti2 0.5000 0.0000 0.0000  2 P 2.24

**ΔE_f**: 0.2536 eV per atom
**Space-group type**: No. 123
**Raw total energy**: -38.84 eV per cell

VASP calculation (PBE) on a relaxed Zr2TiReP crystal.

abc: 4.8671 4.3553 4.8671
angles: 90.00 90.00 90.00
Last column: nearest neighbours and their distance in Å.
Atoms (fractional coordinates):
Re1 0.0000 0.5000 0.0000  2 P 2.18
P1 0.0000 0.0000 0.0000  2 Re 2.18, 4 Zr 2.43
Zr1 0.0000 0.0000 0.5000  2 P 2.43
Zr2 0.5000 0.0000 0.0000  2 P 2.43
Ti1 0.5000 0.5000 0.5000  8 Zr 3.27, 4 Re 3.44

**ΔE_f**: 0.0694 eV per atom
**Space-group type**: No. 123
**Raw total energy**: -42.50 eV per cell

VASP calculation (PBE) on a relaxed Tl2ReP crystal.

abc: 3.4027 4.7170 5.0190
angles: 90.00 90.00 90.00
Last column: nearest neighbours and their distance in Å.
Atoms (fractional coordinates):
Tl1 0.0000 0.0000 0.0000  4 P 2.91, 4 Tl 3.03
Tl2 0.5000 0.0000 0.5000  4 Re 2.91, 4 Tl 3.03
Re1 0.0000 0.5000 0.5000  4 Tl 2.91, 4 P 3.03
P1 0.5000 0.5000 0.0000  4 Tl 2.91, 4 Re 3.03

**ΔE_f**: 1.1591 eV per atom
**Space-group type**: No. 47
**Raw total energy**: -17.95 eV per cell

VASP calculation (PBE) on a relaxed TlRe2P crystal.

abc: 4.4419 4.4419 6.1188
angles: 80.75 80.75 39.73
Last column: nearest neighbours and their distance in Å.
Atoms (fractional coordinates):
Tl1 0.4868 0.4868 0.5108  5 Re 2.96-3.05, 2 Tl 3.02, 1 P 3.29
Re1 0.0055 0.0055 0.0742  3 P 2.35-2.37
Re2 0.7234 0.7234 0.8206  2 P 2.37, 2 Re 2.65
P1 0.2843 0.2843 0.0943  5 Re 2.35-2.37

**ΔE_f**: 0.5071 eV per atom
**Space-group type**: No. 8
**Raw total energy**: -30.64 eV per cell

| no. | spin magnetization (μB/atom) |
| --- | --- |
| 1 | 0.000 |
| 2 | 0.000 |
| 3 | 0.000 |
| 4 | 0.000 |
| 5 | 0.228 |
| 6 | 0.000 |